The following is a PBE-GGA calculation of a geometry-optimized Li3NiCl6 structure, from Alexandria.

Results
SG	R-3, No. 148
magnetic moment	1.0	μB per formula unit
uncorrected energy	-3.48	eV per atom
formation energy from raw total energies	-1.224	eV per atom
excess energy over the best structure of this formula in the dataset	0.00	eV/f.u.

Unit cell a=7.4011 b=7.4011 c=7.4011 alpha=92.11 beta=92.11 gamma=92.11
With the nearest neighbours (Å) after each atom.
Element x y z (fractional)
Cl 0.2974 0.9220 0.0908  1 Ni 2.38, 2 Li 2.47-2.57
Cl 0.4804 0.5457 0.8040  1 Ni 2.27, 2 Li 2.52-2.54
Cl 0.7026 0.0780 0.9092  1 Ni 2.38, 2 Li 2.47-2.57
Li 0.8790 0.7911 0.4285  5 Cl 2.47-2.67
Li 0.1210 0.2089 0.5715  5 Cl 2.47-2.67
Ni 0.5000 0.5000 0.5000  6 Cl 2.27
Li 0.2089 0.5715 0.1210  5 Cl 2.47-2.67
Cl 0.4543 0.1960 0.5196  1 Ni 2.27, 2 Li 2.52-2.54
Cl 0.9092 0.7026 0.0780  1 Ni 2.38, 2 Li 2.47-2.57
Ni 0.0000 0.0000 0.0000  6 Cl 2.38
Cl 0.5457 0.8040 0.4804  1 Ni 2.27, 2 Li 2.52-2.54
Cl 0.1960 0.5196 0.4543  1 Ni 2.27, 2 Li 2.52-2.54
Cl 0.0780 0.9092 0.7026  1 Ni 2.38, 2 Li 2.47-2.57
Cl 0.9220 0.0908 0.2974  1 Ni 2.38, 2 Li 2.47-2.57
Cl 0.5196 0.4543 0.1960  1 Ni 2.27, 2 Li 2.52-2.54
Li 0.4285 0.8790 0.7911  5 Cl 2.47-2.67
Li 0.7911 0.4285 0.8790  5 Cl 2.47-2.67
Li 0.5715 0.1210 0.2089  5 Cl 2.47-2.67
Cl 0.8040 0.4804 0.5457  1 Ni 2.27, 2 Li 2.52-2.54
Cl 0.0908 0.2974 0.9220  1 Ni 2.38, 2 Li 2.47-2.57